FeCoAsBr2 | PBE-GGA | relaxed

## Properties
magnetic moment: 4.06 Bohr magnetons per cell
energy relative to the elements, uncorrected: 0.817 eV/atom
energy relative to the lowest polymorph listed for this composition: 143.5 meV/atom

Cell lengths 5.0829, 5.0829, 4.4922 Å; angles 90.00, 90.00, 90.00 degrees
With the nearest neighbours (Å) after each atom.
Sites, in units of the cell vectors:
As 0.0000 0.0000 0.5000  2 Fe 2.25
Br 0.5000 0.0000 0.0000  2 Fe 2.54
Br 0.0000 0.5000 0.0000  2 Fe 2.54
Co 0.5000 0.5000 0.5000  8 Br 3.39, 4 As 3.59
Fe 0.0000 0.0000 0.0000  2 As 2.25